# Ca2CuO3 (PBE-GGA, optimized geometry)
data_Ca2CuO3
_chemical_formula_sum 'Ca4 Cu2 O6'
_cell_length_a 3.3069
_cell_length_b 3.3948
_cell_length_c 19.2396
_cell_angle_alpha 90.00
_cell_angle_beta 90.00
_cell_angle_gamma 90.00
_symmetry_space_group_name_H-M 'I m m m'
_symmetry_Int_Tables_number 71
_symmetry_space_group_name_Hall '-I 2 2'
loop_
_atom_site_label
_atom_site_type_symbol
_atom_site_fract_x
_atom_site_fract_y
_atom_site_fract_z
_atom_site_occupancy
Ca1 Ca 0.0000 0.0000 0.1861 1
Cu1 Cu 0.0000 0.0000 0.0000 1
O1 O 0.0000 0.0000 0.3080 1
O2 O 0.0000 0.5000 0.0000 1
# - ΔE to the lowest computed polymorph (meV/atom) = 293
# - total magnetization (μB/atom) = 0.10
# - total DFT energy (no corrections) (eV/f.u.) = -34.28
# - ΔE_f (raw) (eV per atom) = -1.88

=====

# CaCu2O4 (PBE-GGA, optimized geometry)
data_CaCu2O4
_chemical_formula_sum 'Ca4 Cu8 O16'
_cell_length_a 3.4689
_cell_length_b 10.3608
_cell_length_c 9.3108
_cell_angle_alpha 90.00
_cell_angle_beta 90.00
_cell_angle_gamma 90.00
_symmetry_space_group_name_H-M 'P b c m'
_symmetry_Int_Tables_number 57
_symmetry_space_group_name_Hall '-P 2c 2b'
loop_
_atom_site_label
_atom_site_type_symbol
_atom_site_fract_x
_atom_site_fract_y
_atom_site_fract_z
_atom_site_occupancy
Ca1 Ca 0.0871 0.1552 0.2500 1
Cu1 Cu 0.3763 0.6127 0.5694 1
O1 O 0.0848 0.7500 0.0000 1
O2 O 0.3940 0.5434 0.1129 1
O3 O 0.4085 0.6884 0.7500 1
# - ΔE to the lowest computed polymorph (meV/atom) = 15
# - total magnetization (μB/atom) = 0.00
# - total DFT energy (no corrections) (eV/f.u.) = -39.05
# - ΔE_f (raw) (eV per atom) = -1.29

=====

# CaCu7O12 (PBE-GGA, optimized geometry)
data_CaCu7O12
_chemical_formula_sum 'Ca2 Cu14 O24'
_cell_length_a 7.3074
_cell_length_b 7.3074
_cell_length_c 7.3074
_cell_angle_alpha 90.00
_cell_angle_beta 90.00
_cell_angle_gamma 90.00
_symmetry_space_group_name_H-M 'I m -3'
_symmetry_Int_Tables_number 204
_symmetry_space_group_name_Hall '-I 2 2 3'
loop_
_atom_site_label
_atom_site_type_symbol
_atom_site_fract_x
_atom_site_fract_y
_atom_site_fract_z
_atom_site_occupancy
Ca1 Ca 0.0000 0.0000 0.0000 1
Cu1 Cu 0.0000 0.0000 0.5000 1
Cu2 Cu 0.2500 0.2500 0.2500 1
O1 O 0.0000 0.3106 0.1726 1
# - total magnetization (μB/atom) = 0.00
# - total DFT energy (no corrections) (eV/f.u.) = -103.78
# - ΔE_f (raw) (eV per atom) = -0.68

=====

# CaCuP2O7 (PBE-GGA, optimized geometry)
data_CaCuP2O7
_chemical_formula_sum 'Ca2 Cu2 P4 O14'
_cell_length_a 6.2841
_cell_length_b 6.4329
_cell_length_c 7.2045
_cell_angle_alpha 68.91
_cell_angle_beta 85.27
_cell_angle_gamma 82.57
_symmetry_space_group_name_H-M 'P -1'
_symmetry_Int_Tables_number 2
_symmetry_space_group_name_Hall '-P 1'
loop_
_atom_site_label
_atom_site_type_symbol
_atom_site_fract_x
_atom_site_fract_y
_atom_site_fract_z
_atom_site_occupancy
Ca1 Ca 0.1553 0.2242 0.3634 1
Cu1 Cu 0.3324 0.3961 0.7466 1
P1 P 0.1644 0.7350 0.2371 1
P2 P 0.3663 0.8629 0.8277 1
O1 O 0.0154 0.4083 0.7637 1
O2 O 0.0961 0.8874 0.3541 1
O3 O 0.2175 0.8923 0.0143 1
O4 O 0.2542 0.7150 0.7477 1
O5 O 0.3563 0.1080 0.6766 1
O6 O 0.3609 0.5621 0.3160 1
O7 O 0.4090 0.2339 0.1019 1
# - ΔE to the lowest computed polymorph (meV/atom) = 22
# - total magnetization (μB/atom) = 0.09
# - total DFT energy (no corrections) (eV/f.u.) = -75.39
# - ΔE_f (raw) (eV per atom) = -2.16

=====

# CaCuP2O7 (PBE-GGA, optimized geometry)
data_CaCuP2O7
_chemical_formula_sum 'Ca2 Cu2 P4 O14'
_cell_length_a 6.1449
_cell_length_b 6.4796
_cell_length_c 7.3472
_cell_angle_alpha 81.54
_cell_angle_beta 89.22
_cell_angle_gamma 68.52
_symmetry_space_group_name_H-M 'P -1'
_symmetry_Int_Tables_number 2
_symmetry_space_group_name_Hall '-P 1'
loop_
_atom_site_label
_atom_site_type_symbol
_atom_site_fract_x
_atom_site_fract_y
_atom_site_fract_z
_atom_site_occupancy
Ca1 Ca 0.2102 0.2740 0.3703 1
Cu1 Cu 0.2351 0.8804 0.8323 1
P1 P 0.2566 0.7819 0.3723 1
P2 P 0.3425 0.3419 0.8829 1
O1 O 0.0901 0.0019 0.2567 1
O2 O 0.1381 0.6242 0.4547 1
O3 O 0.1681 0.5860 0.8600 1
O4 O 0.2478 0.1890 0.7981 1
O5 O 0.3913 0.8499 0.5103 1
O6 O 0.4331 0.6438 0.2303 1
O7 O 0.4354 0.2542 0.0856 1
# - ΔE to the lowest computed polymorph (meV/atom) = 11
# - total magnetization (μB/atom) = 0.09
# - total DFT energy (no corrections) (eV/f.u.) = -75.51
# - ΔE_f (raw) (eV per atom) = -2.17

=====

# CaCu2P4O14 (PBE-GGA, optimized geometry)
data_CaCu2P4O14
_chemical_formula_sum 'Ca2 Cu4 P8 O28'
_cell_length_a 5.4052
_cell_length_b 7.9877
_cell_length_c 13.0173
_cell_angle_alpha 89.81
_cell_angle_beta 87.27
_cell_angle_gamma 89.89
_symmetry_space_group_name_H-M 'P -1'
_symmetry_Int_Tables_number 2
_symmetry_space_group_name_Hall '-P 1'
loop_
_atom_site_label
_atom_site_type_symbol
_atom_site_fract_x
_atom_site_fract_y
_atom_site_fract_z
_atom_site_occupancy
Ca1 Ca 0.2184 0.1910 0.2598 1
Cu1 Cu 0.2294 0.1443 0.6210 1
Cu2 Cu 0.2591 0.6411 0.8791 1
P1 P 0.1891 0.3015 0.9863 1
P2 P 0.2365 0.5329 0.6672 1
P3 P 0.2645 0.0280 0.8301 1
P4 P 0.3186 0.8068 0.5152 1
O1 O 0.0309 0.4407 0.3016 1
O2 O 0.0903 0.1208 0.7566 1
O3 O 0.0965 0.6645 0.0068 1
O4 O 0.1369 0.8525 0.8432 1
O5 O 0.1883 0.8285 0.4177 1
O6 O 0.2044 0.9071 0.6098 1
O7 O 0.2213 0.1133 0.9405 1
O8 O 0.2949 0.6154 0.5551 1
O9 O 0.3077 0.4113 0.8991 1
O10 O 0.3121 0.3002 0.0876 1
O11 O 0.3408 0.3546 0.6566 1
O12 O 0.3938 0.1623 0.4899 1
O13 O 0.4120 0.6254 0.7417 1
O14 O 0.4677 0.9793 0.2028 1
# - total magnetization (μB/atom) = 0.00
# - total DFT energy (no corrections) (eV/f.u.) = -140.13
# - ΔE_f (raw) (eV per atom) = -1.85

=====

# CaCuP2O7 (PBE-GGA, optimized geometry)
data_CaCuP2O7
_chemical_formula_sum 'Ca4 Cu4 P8 O28'
_cell_length_a 5.2938
_cell_length_b 8.1408
_cell_length_c 13.4309
_cell_angle_alpha 90.00
_cell_angle_beta 111.40
_cell_angle_gamma 90.00
_symmetry_space_group_name_H-M 'P 1 21/c 1'
_symmetry_Int_Tables_number 14
_symmetry_space_group_name_Hall '-P 2ybc'
loop_
_atom_site_label
_atom_site_type_symbol
_atom_site_fract_x
_atom_site_fract_y
_atom_site_fract_z
_atom_site_occupancy
Ca1 Ca 0.0146 0.1822 0.2263 1
Cu1 Cu 0.3175 0.6408 0.6101 1
P1 P 0.3255 0.2021 0.0160 1
P2 P 0.4122 0.0276 0.6661 1
O1 O 0.1160 0.1890 0.9038 1
O2 O 0.1806 0.0417 0.7076 1
O3 O 0.2509 0.1021 0.0998 1
O4 O 0.3113 0.1062 0.5483 1
O5 O 0.3298 0.6224 0.7648 1
O6 O 0.3763 0.6668 0.4713 1
O7 O 0.4997 0.1485 0.3443 1
# - ΔE to the lowest computed polymorph (meV/atom) = 0
# - total magnetization (μB/atom) = 0.09
# - total DFT energy (no corrections) (eV/f.u.) = -75.64
# - ΔE_f (raw) (eV per atom) = -2.18

=====

# CaCuP2O7 (PBE-GGA, optimized geometry)
data_CaCuP2O7
_chemical_formula_sum 'Ca4 Cu4 P8 O28'
_cell_length_a 7.4472
_cell_length_b 8.9136
_cell_length_c 9.1722
_cell_angle_alpha 90.00
_cell_angle_beta 119.13
_cell_angle_gamma 90.00
_symmetry_space_group_name_H-M 'P 1 21/c 1'
_symmetry_Int_Tables_number 14
_symmetry_space_group_name_Hall '-P 2ybc'
loop_
_atom_site_label
_atom_site_type_symbol
_atom_site_fract_x
_atom_site_fract_y
_atom_site_fract_z
_atom_site_occupancy
Ca1 Ca 0.2310 0.0370 0.3806 1
Cu1 Cu 0.2873 0.0857 0.8943 1
P1 P 0.9997 0.2447 0.5438 1
P2 P 0.4410 0.7178 0.2589 1
O1 O 0.0302 0.6126 0.3827 1
O2 O 0.0634 0.1036 0.6594 1
O3 O 0.1294 0.2412 0.9554 1
O4 O 0.2225 0.6786 0.0969 1
O5 O 0.4084 0.2124 0.3080 1
O6 O 0.4316 0.6347 0.8379 1
O7 O 0.4732 0.5800 0.3760 1
# - ΔE to the lowest computed polymorph (meV/atom) = 52
# - total magnetization (μB/atom) = 0.09
# - total DFT energy (no corrections) (eV/f.u.) = -75.06
# - ΔE_f (raw) (eV per atom) = -2.13